Here is KNaTlAs after structural relaxation from Alexandria via LeMat-Bulk. Energies are from PBE.

a b c (Å): 5.441 5.441 5.441
angles (deg): 60.00 60.00 60.00
Fractional coordinates of all 4 atoms:
Na 0.000 0.000 0.000
As 0.750 0.750 0.750
Tl 0.500 0.500 0.500
K 0.250 0.250 0.250

Output
**Crystal system**: cubic
**ρ**: 4.977 g/cm3
**Total energy**: -2.56 eV per atom
**SG**: No. 216
**Volume**: 113.89 Å³/f.u.
**M_tot**: 0.0 Bohr magnetons per cell